No. 1
MnSb2MoI after structural relaxation, computed with PBE.

Calculated values
E_form (uncorrected) ... 842 meV per atom
E_tot ... -5.12 eV/atom
Calculated density ... 5.5 g/cm³

Lattice parameters (Å, degrees): 5.177 5.177 5.888 90.00 90.00 90.00
Space group P4/mmm (No. 123)
Asymmetric unit:
Mn 0.000 0.000 0.000 (multiplicity 1)
Sb 0.000 0.500 0.500 (multiplicity 2)
Mo 0.500 0.500 0.500 (multiplicity 1)
I 0.500 0.500 0.000 (multiplicity 1)


No. 2
MnSbMoI2 after structural relaxation, computed with PBE.

Calculated values
E_form (uncorrected) ... 1002 meV per atom
E_tot ... -4.44 eV/atom
Calculated density ... 5.5 g/cm³

Lattice parameters (Å, degrees): 5.516 5.516 5.259 90.00 90.00 90.00
Space group P4/mmm (No. 123)
Asymmetric unit:
Mn 0.000 0.000 0.000 (multiplicity 1)
Sb 0.000 0.000 0.500 (multiplicity 1)
Mo 0.500 0.500 0.500 (multiplicity 1)
I 0.000 0.500 0.000 (multiplicity 2)